[1]
Computed, not measured: a geometry-optimized SrSnHg3 structure at the PBE level of DFT.

Unit cell a=5.6574 b=9.8310 c=10.6594 alpha=108.27 beta=90.00 gamma=90.00
With the nearest neighbours (Å) after each atom.
Fractional positions:
Sr1 0.8932 0.5070 0.2909  9 Hg 3.32-3.62, 3 Sn 3.49-3.71
Sr2 0.1068 0.4930 0.7091  9 Hg 3.32-3.62, 3 Sn 3.49-3.71
Sr3 0.3932 0.9930 0.2091  9 Hg 3.32-3.62, 3 Sn 3.49-3.71
Sr4 0.6068 0.0070 0.7909  9 Hg 3.32-3.62, 3 Sn 3.49-3.71
Sn1 0.4208 0.2901 0.0968  5 Hg 2.99-3.12
Sn2 0.5792 0.7099 0.9032  5 Hg 2.99-3.12
Sn3 0.9208 0.2099 0.4032  5 Hg 2.99-3.12
Sn4 0.0792 0.7901 0.5968  5 Hg 2.99-3.12
Hg1 0.3959 0.3701 0.3987  1 Hg 3.02, 3 Sn 3.07-3.37
Hg2 0.6041 0.6299 0.6013  1 Hg 3.02, 3 Sn 3.07-3.37
Hg3 0.8959 0.1299 0.1013  1 Hg 3.02, 3 Sn 3.07-3.37
Hg4 0.1041 0.8701 0.8987  1 Hg 3.02, 3 Sn 3.07-3.37
Hg5 0.3736 0.7108 0.3399  2 Hg 3.02-3.10, 1 Sn 3.09, 1 Sr 3.32
Hg6 0.6264 0.2892 0.6601  2 Hg 3.02-3.10, 1 Sn 3.09, 1 Sr 3.32
Hg7 0.8736 0.7892 0.1601  2 Hg 3.02-3.10, 1 Sn 3.09, 1 Sr 3.32
Hg8 0.1264 0.2108 0.8399  2 Hg 3.02-3.10, 1 Sn 3.09, 1 Sr 3.32
Hg9 0.7508 0.9319 0.4558  2 Sn 2.99-3.11, 4 Hg 3.02-3.15
Hg10 0.2492 0.0681 0.5442  2 Sn 2.99-3.11, 4 Hg 3.02-3.15
Hg11 0.2508 0.5681 0.0442  2 Sn 2.99-3.11, 4 Hg 3.02-3.15
Hg12 0.7492 0.4319 0.9558  2 Sn 2.99-3.11, 4 Hg 3.02-3.15

- DOS at the Fermi energy: 0.346 states/eV per atom
- M_tot: 0.00 μB/f.u.
- Crystal system: monoclinic
- ΔE to the lowest computed polymorph: 0.00 eV/f.u.
- Formation energy: -305.4 meV per atom

[2]
Computed, not measured: a geometry-optimized BaLi2S2 structure at the PBE level of DFT.

Unit cell a=7.9665 b=7.9665 c=3.7306 alpha=90.00 beta=90.00 gamma=90.00
With the nearest neighbours (Å) after each atom.
Fractional positions:
S1 0.3451 0.8451 0.0000  4 Li 2.83, 2 Ba 3.01
S2 0.8451 0.6549 0.0000  4 Li 2.83, 2 Ba 3.01
S3 0.6549 0.1549 0.0000  4 Li 2.83, 2 Ba 3.01
S4 0.1549 0.3451 0.0000  4 Li 2.83, 2 Ba 3.01
Ba1 0.0000 0.0000 0.0000  4 S 3.01
Ba2 0.5000 0.5000 0.0000  4 S 3.01
Li1 0.1088 0.6088 0.5000  1 Li 2.45
Li2 0.6088 0.8912 0.5000  1 Li 2.45
Li3 0.8912 0.3912 0.5000  1 Li 2.45
Li4 0.3912 0.1088 0.5000  1 Li 2.45

- DOS at the Fermi energy: 0.000 states/eV per atom
- Uncorrected formation energy: -1041 meV per atom
- M_tot: 0.00 μB/f.u.
- Crystal system: tetragonal
- ΔE to the lowest computed polymorph: 2.78 eV/f.u.

[3]
Computed, not measured: a geometry-optimized K2Rb4MgPb2 structure at the PBE level of DFT.

Unit cell a=7.0670 b=9.3526 c=9.3526 alpha=53.11 beta=72.84 gamma=72.84
With the nearest neighbours (Å) after each atom.
Fractional positions:
K1 0.2556 0.6421 0.6421  3 Pb 3.84-4.21, 4 Rb 4.07-4.15
K2 0.7444 0.3579 0.3579  3 Pb 3.84-4.21, 4 Rb 4.07-4.15
Rb1 0.2179 0.6351 0.0977  1 Rb 3.87, 3 Pb 3.89-4.13, 1 Mg 3.96, 3 K 4.07-4.31
Rb2 0.7821 0.9023 0.3649  1 Rb 3.87, 3 Pb 3.89-4.13, 1 Mg 3.96, 3 K 4.07-4.31
Rb3 0.7821 0.3649 0.9023  1 Rb 3.87, 3 Pb 3.89-4.13, 1 Mg 3.96, 3 K 4.07-4.31
Rb4 0.2179 0.0977 0.6351  1 Rb 3.87, 3 Pb 3.89-4.13, 1 Mg 3.96, 3 K 4.07-4.31
Mg1 0.5000 0.0000 0.0000  2 Pb 2.87
Pb1 0.2429 0.1733 0.1733  1 Mg 2.87
Pb2 0.7571 0.8267 0.8267  1 Mg 2.87

- DOS at the Fermi energy: 0.620 states/eV per atom
- M_tot: 0.01 μB/f.u.
- Crystal system: monoclinic
- Formation energy: -17.3 meV per atom

[4]
Computed, not measured: a geometry-optimized CsBa2InH8 structure at the PBE level of DFT.

Unit cell a=4.5958 b=5.6569 c=8.5582 alpha=89.99 beta=89.97 gamma=103.57
With the nearest neighbours (Å) after each atom.
Fractional positions:
Cs1 0.0000 0.0000 0.5000  8 H 2.82-3.12
Ba1 0.5005 0.4999 0.7648  8 H 2.58-2.82
Ba2 0.4995 0.5001 0.2352  8 H 2.58-2.82
In1 0.0000 0.0000 0.0000  6 H 1.88-2.03
H1 0.0763 0.7764 0.1736  1 In 2.03
H2 0.6071 0.8038 0.9999  1 In 1.88
H3 0.9229 0.2232 0.1735  1 In 2.03
H4 0.9237 0.2236 0.8264  1 In 2.03
H5 0.3929 0.1962 0.0001  1 In 1.88
H6 0.0771 0.7768 0.8265  1 In 2.03
H7 0.3699 0.6668 0.5002  1 H 2.46, 2 Ba 2.58
H8 0.6301 0.3332 0.4998  1 H 2.46, 2 Ba 2.58

- DOS at the Fermi energy: 0.000 states/eV per atom
- Electronic total energy: -3.011 eV per atom
- M_tot: 0.00 μB/f.u.
- Crystal system: monoclinic

[5]
Computed, not measured: a geometry-optimized Al2HgTe2 structure at the PBE level of DFT.

Unit cell a=5.0261 b=5.0261 c=7.3639 alpha=70.05 beta=70.05 gamma=90.00
With the nearest neighbours (Å) after each atom.
Fractional positions:
Te1 0.3468 0.3468 0.3063  4 Al 2.81
Te2 0.6532 0.6532 0.6937  4 Al 2.81
Hg1 0.0000 0.0000 0.0000  10 Te 4.07-4.47, 8 Al 4.09
Al1 0.7500 0.2500 0.5000  4 Te 2.81
Al2 0.2500 0.7500 0.5000  4 Te 2.81

- DOS at the Fermi energy: 0.423 states/eV per atom
- Uncorrected formation energy: -37 meV per atom
- M_tot: 0.00 μB/f.u.
- Crystal system: tetragonal
- ΔE to the lowest computed polymorph: 0.43 eV/f.u.

[6]
Computed, not measured: a geometry-optimized Ta6Nb5Pd structure at the PBE level of DFT.

Unit cell a=4.7517 b=7.1494 c=7.1494 alpha=86.85 beta=109.24 gamma=109.24
With the nearest neighbours (Å) after each atom.
Fractional positions:
Nb1 0.5000 0.1668 0.8332  4 Ta 2.82-2.85, 2 Nb 2.88, 2 Pd 2.89
Nb2 0.0000 0.3326 0.6674  4 Ta 2.82-2.83, 4 Nb 2.88-2.89
Nb3 0.5000 0.5000 0.5000  4 Ta 2.84, 4 Nb 2.89
Nb4 0.0000 0.6674 0.3326  4 Ta 2.82-2.83, 4 Nb 2.88-2.89
Nb5 0.5000 0.8332 0.1668  4 Ta 2.82-2.85, 2 Nb 2.88, 2 Pd 2.89
Pd1 0.0000 0.0000 0.0000  4 Ta 2.85, 4 Nb 2.89
Ta1 0.2503 0.0817 0.4187  3 Nb 2.82-2.84, 1 Pd 2.85, 4 Ta 2.87-2.90
Ta2 0.7497 0.5813 0.9183  3 Nb 2.82-2.84, 1 Pd 2.85, 4 Ta 2.87-2.90
Ta3 0.7526 0.2514 0.2514  4 Nb 2.83-2.85, 4 Ta 2.89-2.90
Ta4 0.2474 0.7486 0.7486  4 Nb 2.83-2.85, 4 Ta 2.89-2.90
Ta5 0.2503 0.4187 0.0817  3 Nb 2.82-2.84, 1 Pd 2.85, 4 Ta 2.87-2.90
Ta6 0.7497 0.9183 0.5813  3 Nb 2.82-2.84, 1 Pd 2.85, 4 Ta 2.87-2.90

- DOS at the Fermi energy: 1.211 states/eV per atom
- M_tot: 0.00 μB/f.u.
- Crystal system: monoclinic
- Formation energy: -56.4 meV per atom

[7]
Computed, not measured: a geometry-optimized Sc2PaZn9 structure at the PBE level of DFT.

Unit cell a=5.3203 b=8.7674 c=8.7674 alpha=90.00 beta=90.00 gamma=90.00
With the nearest neighbours (Å) after each atom.
Fractional positions:
Sc1 0.0000 0.6249 0.1249  12 Zn 2.77-3.11, 1 Sc 3.10
Sc2 0.0000 0.3751 0.8751  12 Zn 2.77-3.11, 1 Sc 3.10
Sc3 0.0000 0.1249 0.3751  12 Zn 2.77-3.11, 1 Sc 3.10
Sc4 0.0000 0.8751 0.6249  12 Zn 2.77-3.11, 1 Sc 3.10
Pa1 0.0000 0.5000 0.5000  16 Zn 3.25-3.47, 4 Sc 3.47
Pa2 0.0000 0.0000 0.0000  16 Zn 3.25-3.47, 4 Sc 3.47
Zn1 0.5000 0.5000 0.0000  8 Zn 2.59-2.67
Zn2 0.5000 0.0000 0.5000  8 Zn 2.59-2.67
Zn3 0.5000 0.7023 0.5642  8 Zn 2.63-2.90
Zn4 0.5000 0.2977 0.4358  8 Zn 2.63-2.90
Zn5 0.5000 0.2023 0.9358  8 Zn 2.63-2.90
Zn6 0.5000 0.7977 0.0642  8 Zn 2.63-2.90
Zn7 0.5000 0.4358 0.7023  8 Zn 2.63-2.90
Zn8 0.5000 0.5642 0.2977  8 Zn 2.63-2.90
Zn9 0.5000 0.0642 0.2023  8 Zn 2.63-2.90
Zn10 0.5000 0.9358 0.7977  8 Zn 2.63-2.90
Zn11 0.7648 0.8246 0.3246  6 Zn 2.50-2.75, 1 Sc 2.77
Zn12 0.7648 0.1754 0.6754  6 Zn 2.50-2.75, 1 Sc 2.77
Zn13 0.7648 0.3246 0.1754  6 Zn 2.50-2.75, 1 Sc 2.77
Zn14 0.7648 0.6754 0.8246  6 Zn 2.50-2.75, 1 Sc 2.77
Zn15 0.2352 0.1754 0.6754  6 Zn 2.50-2.75, 1 Sc 2.77
Zn16 0.2352 0.8246 0.3246  6 Zn 2.50-2.75, 1 Sc 2.77
Zn17 0.2352 0.6754 0.8246  6 Zn 2.50-2.75, 1 Sc 2.77
Zn18 0.2352 0.3246 0.1754  6 Zn 2.50-2.75, 1 Sc 2.77

- DOS at the Fermi energy: 0.980 states/eV per atom
- M_tot: 1.45 μB/f.u.
- Crystal system: tetragonal
- Formation energy: -192.5 meV per atom

[8]
Computed, not measured: a geometry-optimized Pm6Ho2Er3 structure at the PBE level of DFT.

Unit cell a=4.7568 b=4.7568 c=17.0971 alpha=98.00 beta=98.00 gamma=90.00
With the nearest neighbours (Å) after each atom.
Fractional positions:
Pm1 0.1203 0.6203 0.2406  6 Pm 3.36-3.58, 2 Ho 3.46, 2 Er 3.51
Pm2 0.6203 0.1203 0.2406  6 Pm 3.36-3.58, 2 Ho 3.46, 2 Er 3.51
Pm3 0.8797 0.3797 0.7594  6 Pm 3.36-3.58, 2 Ho 3.46, 2 Er 3.51
Pm4 0.3797 0.8797 0.7594  6 Pm 3.36-3.58, 2 Ho 3.46, 2 Er 3.51
Pm5 0.7002 0.7002 0.4004  5 Er 3.36-3.43, 4 Pm 3.58
Pm6 0.2998 0.2998 0.5996  5 Er 3.36-3.43, 4 Pm 3.58
Ho1 0.4547 0.4547 0.9095  1 Ho 3.03
Ho2 0.5453 0.5453 0.0905  1 Ho 3.03
Er1 0.0000 0.0000 0.0000  8 Ho 3.69
Er2 0.8026 0.8026 0.6052  9 Pm 3.36-3.51
Er3 0.1974 0.1974 0.3948  9 Pm 3.36-3.51

- DOS at the Fermi energy: 1.454 states/eV per atom
- M_tot: 0.00 μB/f.u.
- Crystal system: tetragonal
- ΔE to the lowest computed polymorph: 3.13 eV/f.u.
- Formation energy: 300.2 meV per atom

[9]
Computed, not measured: a geometry-optimized SnPRh2 structure at the PBE level of DFT.

Unit cell a=5.6227 b=6.3134 c=7.3152 alpha=90.00 beta=89.58 gamma=90.00
With the nearest neighbours (Å) after each atom.
Fractional positions:
Sn1 0.2106 0.3956 0.1136  6 Rh 2.66-2.78
Sn2 0.2894 0.8956 0.8864  6 Rh 2.66-2.78
Sn3 0.7106 0.1044 0.1136  6 Rh 2.66-2.78
Sn4 0.7894 0.6044 0.8864  6 Rh 2.66-2.78
P1 0.6939 0.0596 0.6180  6 Rh 2.34-2.50
P2 0.1939 0.4404 0.6180  6 Rh 2.34-2.50
P3 0.3061 0.9404 0.3820  6 Rh 2.34-2.50
P4 0.8061 0.5596 0.3820  6 Rh 2.34-2.50
Rh1 0.5088 0.7112 0.1832  2 P 2.34-2.42
Rh2 0.0088 0.7888 0.1832  2 P 2.34-2.42
Rh3 0.9971 0.2044 0.4095  4 P 2.41-2.50
Rh4 0.9912 0.2112 0.8168  2 P 2.34-2.42
Rh5 0.0029 0.7956 0.5905  4 P 2.41-2.50
Rh6 0.5029 0.7044 0.5905  4 P 2.41-2.50
Rh7 0.4912 0.2888 0.8168  2 P 2.34-2.42
Rh8 0.4971 0.2956 0.4095  4 P 2.41-2.50

- DOS at the Fermi energy: 0.177 states/eV per atom
- M_tot: 0.00 μB/f.u.
- Crystal system: monoclinic
- Formation energy: -652.4 meV per atom

[10]
Computed, not measured: a geometry-optimized Cu3Sb structure at the PBE level of DFT.

Unit cell a=4.2282 b=5.2953 c=5.4286 alpha=90.00 beta=90.00 gamma=90.00
With the nearest neighbours (Å) after each atom.
Fractional positions:
Cu1 0.7500 0.2290 0.7500  6 Cu 2.59, 2 Sb 2.75
Cu2 0.2500 0.7710 0.2500  6 Cu 2.59, 2 Sb 2.75
Cu3 0.2500 0.3572 0.9957  7 Cu 2.59-2.76, 2 Sb 2.76
Cu4 0.2500 0.3572 0.5043  7 Cu 2.59-2.76, 2 Sb 2.76
Cu5 0.7500 0.6428 0.4957  7 Cu 2.59-2.76, 2 Sb 2.76
Cu6 0.7500 0.6428 0.0043  7 Cu 2.59-2.76, 2 Sb 2.76
Sb1 0.7500 0.1485 0.2500  12 Cu 2.75-2.99
Sb2 0.2500 0.8515 0.7500  12 Cu 2.75-2.99

- DOS at the Fermi energy: 0.333 states/eV per atom
- Uncorrected formation energy: 71 meV per atom
- M_tot: 0.00 μB/f.u.
- Crystal system: orthorhombic

[11]
Computed, not measured: a geometry-optimized SrZnPt3 structure at the PBE level of DFT.

Unit cell a=4.7512 b=4.7512 c=4.7512 alpha=90.00 beta=90.00 gamma=90.00
With the nearest neighbours (Å) after each atom.
Fractional positions:
Sr1 0.5000 0.5000 0.5000  12 Pt 3.36
Zn1 0.0000 0.0000 0.0000  6 Pt 2.38
Pt1 0.0000 0.5000 0.0000  2 Zn 2.38
Pt2 0.0000 0.0000 0.5000  2 Zn 2.38
Pt3 0.5000 0.0000 0.0000  2 Zn 2.38

- DOS at the Fermi energy: 0.296 states/eV per atom
- M_tot: 0.00 μB/f.u.
- Crystal system: cubic
- ΔE to the lowest computed polymorph: 0.00 eV/f.u.
- Formation energy: -151.0 meV per atom